DFT (GGA-PBE) results for crystalline MnAlSiIr at its relaxed geometry.

## Properties
Fermi-level density of states ... 0.882 states/eV/atom
M_tot ... 0.471 μB/cell
Formation energy from raw total energies ... -0.52 eV/atom

Lattice parameters (Å, degrees): 4.133 4.133 4.133 60.00 60.00 60.00
Element x y z (fractional)
Mn: 0.000 0.000 0.000
Al: 0.750 0.750 0.750
Si: 0.250 0.250 0.250
Ir: 0.500 0.500 0.500